# 1
NaHfSnTe2: relaxed, PBE.

Values from the calculation:
Calculated density in g/cm3: 5.399
Space-group type: P4/mmm (123)
E_form (uncorrected) in meV/atom: -255

Unit cell a=5.6443 b=5.6443 c=5.5550 alpha=90.00 beta=90.00 gamma=90.00
Last column: nearest neighbours and their distance in Å.
Positions (direct):
Na: 0.0000 0.0000 0.0000  8 Te 3.96, 4 Sn 3.99
Hf: 0.5000 0.5000 0.5000  2 Sn 2.78, 4 Te 2.82
Sn: 0.5000 0.5000 0.0000  2 Hf 2.78
Te: 0.0000 0.5000 0.5000  2 Hf 2.82
Te: 0.5000 0.0000 0.5000  2 Hf 2.82


# 2
Al2IrF: relaxed, PBE.

Values from the calculation:
Calculated density in g/cm3: 7.924
Space-group type: Fm-3m (225)
Offset from the most stable computed form in meV per atom: 191
E_form (uncorrected) in meV/atom: -806

Unit cell a=4.2834 b=4.2834 c=4.2834 alpha=60.00 beta=60.00 gamma=60.00
Last column: nearest neighbours and their distance in Å.
Positions (direct):
Al: 0.2500 0.2500 0.2500  4 F 2.62, 4 Ir 2.62
Al: 0.7500 0.7500 0.7500  4 F 2.62, 4 Ir 2.62
Ir: 0.0000 0.0000 0.0000  8 Al 2.62
F: 0.5000 0.5000 0.5000  8 Al 2.62


# 3
BaBeMo: relaxed, PBE.

Values from the calculation:
Calculated density in g/cm3: 5.286
Space-group type: F-43m (216)
Offset from the most stable computed form in meV per atom: 779
Calculated formation energy in meV per atom: 1572

Unit cell a=4.7567 b=4.7567 c=4.7567 alpha=60.00 beta=60.00 gamma=60.00
Last column: nearest neighbours and their distance in Å.
Positions (direct):
Ba: 0.0000 0.0000 0.0000  4 Mo 2.91
Be: 0.5000 0.5000 0.5000  4 Mo 2.91
Mo: 0.7500 0.7500 0.7500  4 Ba 2.91, 4 Be 2.91


# 4
BaUGeO6: relaxed, PBE.

Values from the calculation:
Calculated density in g/cm3: 6.122
Space-group type: P-31c (163)
E_form (uncorrected) in meV/atom: -2577

Unit cell a=5.4066 b=5.4066 c=11.6580 alpha=90.00 beta=90.00 gamma=120.00
Last column: nearest neighbours and their distance in Å.
Positions (direct):
Ba: 0.0000 0.0000 0.0000  6 O 2.73
Ba: 0.0000 0.0000 0.5000  6 O 2.73
U: 0.3333 0.6667 0.2500  6 O 2.11
U: 0.6667 0.3333 0.7500  6 O 2.11
Ge: 0.3333 0.6667 0.7500  6 O 1.94
Ge: 0.6667 0.3333 0.2500  6 O 1.94
O: 0.0226 0.3905 0.6550  1 Ge 1.94, 1 U 2.11
O: 0.0226 0.6321 0.8450  1 Ge 1.94, 1 U 2.11
O: 0.3679 0.3905 0.8450  1 Ge 1.94, 1 U 2.11
O: 0.3679 0.9774 0.6550  1 Ge 1.94, 1 U 2.11
O: 0.3905 0.0226 0.1550  1 Ge 1.94, 1 U 2.11
O: 0.3905 0.3679 0.3450  1 Ge 1.94, 1 U 2.11
O: 0.6095 0.6321 0.6550  1 Ge 1.94, 1 U 2.11
O: 0.6095 0.9774 0.8450  1 Ge 1.94, 1 U 2.11
O: 0.6321 0.0226 0.3450  1 Ge 1.94, 1 U 2.11
O: 0.6321 0.6095 0.1550  1 Ge 1.94, 1 U 2.11
O: 0.9774 0.3679 0.1550  1 Ge 1.94, 1 U 2.11
O: 0.9774 0.6095 0.3450  1 Ge 1.94, 1 U 2.11


# 5
Sm8Er2In: relaxed, PBE.

Values from the calculation:
Calculated density in g/cm3: 7.499
Space-group type: C2/m (12)
Offset from the most stable computed form in meV per atom: 128
Calculated formation energy in meV per atom: 62

Unit cell a=8.3629 b=8.3629 c=5.3818 alpha=90.05 beta=90.05 gamma=103.59
Last column: nearest neighbours and their distance in Å.
Positions (direct):
Sm: 0.1660 0.1660 0.9999  7 Sm 3.44-3.70, 1 In 3.46, 4 Er 3.56-3.57
Sm: 0.2009 0.4724 0.4991  7 Sm 3.38-3.68, 2 Er 3.49-3.62, 2 In 3.64-3.65
Sm: 0.2493 0.7507 0.0000  2 Er 3.18, 1 In 3.29, 4 Sm 3.52
Sm: 0.4724 0.2009 0.4991  7 Sm 3.38-3.68, 2 Er 3.49-3.62, 2 In 3.64-3.65
Sm: 0.5276 0.7991 0.5009  7 Sm 3.38-3.68, 2 Er 3.49-3.62, 2 In 3.64-3.65
Sm: 0.7507 0.2493 0.0000  2 Er 3.18, 1 In 3.29, 4 Sm 3.52
Sm: 0.7991 0.5276 0.5009  7 Sm 3.38-3.68, 2 Er 3.49-3.62, 2 In 3.64-3.65
Sm: 0.8340 0.8340 0.0001  7 Sm 3.44-3.70, 1 In 3.46, 4 Er 3.56-3.57
Er: 0.1210 0.8790 0.5000  4 Sm 3.18-3.49, 1 Er 3.18
Er: 0.8790 0.1210 0.5000  4 Sm 3.18-3.49, 1 Er 3.18
In: 0.5000 0.5000 0.0000  12 Sm 3.29-3.65


# 6
Sm2SiHPt6: relaxed, PBE.

Values from the calculation:
Calculated density in g/cm3: 14.760
Space-group type: C2/m (12)
Total energy in eV for the cell shown: -63.40

Unit cell a=5.7104 b=5.7104 c=6.8294 alpha=114.79 beta=114.79 gamma=60.02
Last column: nearest neighbours and their distance in Å.
Positions (direct):
Sm: 0.2178 0.2178 0.1539  9 Pt 2.99-3.20
Sm: 0.7822 0.7822 0.8461  9 Pt 2.99-3.20
Si: 0.5000 0.5000 0.0000  6 Pt 2.44
H: 0.0000 0.0000 0.5000  6 Pt 2.04
Pt: 0.2341 0.2341 0.6968  1 H 2.04
Pt: 0.2343 0.7287 0.6970  1 H 2.04
Pt: 0.2713 0.7657 0.3030  1 H 2.04
Pt: 0.7287 0.2343 0.6970  1 H 2.04
Pt: 0.7657 0.2713 0.3030  1 H 2.04
Pt: 0.7659 0.7659 0.3032  1 H 2.04


# 7
K2Ga2Pd: relaxed, PBE.

Values from the calculation:
Calculated density in g/cm3: 4.074
Space-group type: P4/mbm (127)
Calculated formation energy in meV per atom: -112

Unit cell a=6.7358 b=6.7358 c=5.8230 alpha=90.00 beta=90.00 gamma=90.00
Last column: nearest neighbours and their distance in Å.
Positions (direct):
K: 0.1871 0.3129 0.0000  6 Ga 3.34-3.67, 5 K 3.47-3.56
K: 0.3129 0.8129 0.0000  6 Ga 3.34-3.67, 5 K 3.47-3.56
K: 0.6871 0.1871 0.0000  6 Ga 3.34-3.67, 5 K 3.47-3.56
K: 0.8129 0.6871 0.0000  6 Ga 3.34-3.67, 5 K 3.47-3.56
Ga: 0.1407 0.6407 0.5000  2 Pd 2.60, 1 Ga 2.68
Ga: 0.3593 0.1407 0.5000  2 Pd 2.60, 1 Ga 2.68
Ga: 0.6407 0.8593 0.5000  2 Pd 2.60, 1 Ga 2.68
Ga: 0.8593 0.3593 0.5000  2 Pd 2.60, 1 Ga 2.68
Pd: 0.0000 0.0000 0.5000  4 Ga 2.60
Pd: 0.5000 0.5000 0.5000  4 Ga 2.60


# 8
NaPaFeN4: relaxed, PBE.

Values from the calculation:
Calculated density in g/cm3: 5.803
Space-group type: P2_1/m (11)
E_form (uncorrected) in meV/atom: -422

Unit cell a=5.6971 b=5.2120 c=7.1903 alpha=90.00 beta=101.27 gamma=90.00
Last column: nearest neighbours and their distance in Å.
Positions (direct):
Na: 0.1429 0.2500 0.4006  4 N 2.45-2.72
Na: 0.8571 0.7500 0.5994  4 N 2.45-2.72
Pa: 0.2537 0.2500 0.9338  6 N 2.20-2.40
Pa: 0.7463 0.7500 0.0662  6 N 2.20-2.40
Fe: 0.2719 0.7500 0.1932  4 N 1.70-1.77
Fe: 0.7281 0.2500 0.8068  4 N 1.70-1.77
N: 0.0370 0.7500 0.3171  1 Fe 1.75
N: 0.1016 0.7500 0.9593  1 Fe 1.77
N: 0.4624 0.0018 0.1933  1 Fe 1.70
N: 0.4624 0.4982 0.1933  1 Fe 1.70
N: 0.5376 0.5018 0.8067  1 Fe 1.70
N: 0.5376 0.9982 0.8067  1 Fe 1.70
N: 0.8984 0.2500 0.0407  1 Fe 1.77
N: 0.9630 0.2500 0.6829  1 Fe 1.75


# 9
BaReF2: relaxed, PBE.

Values from the calculation:
Calculated density in g/cm3: 7.064
Space-group type: I-42d (122)
Offset from the most stable computed form in meV per atom: 175
E_form (uncorrected) in meV/atom: -761

Unit cell a=8.2941 b=8.2941 c=8.2941 alpha=146.85 beta=146.85 gamma=47.59
Last column: nearest neighbours and their distance in Å.
Positions (direct):
Ba: 0.0000 0.0000 0.0000  4 F 2.79
Ba: 0.7500 0.2500 0.5000  4 F 2.79
Re: 0.2500 0.7500 0.5000  4 F 2.34
Re: 0.5000 0.5000 0.0000  4 F 2.34
F: 0.2282 0.6250 0.1032  2 Re 2.34
F: 0.3750 0.4782 0.6032  2 Re 2.34
F: 0.5218 0.1250 0.8968  2 Re 2.34
F: 0.8750 0.7718 0.3968  2 Re 2.34


# 10
CaPu2UN4: relaxed, PBE.

Values from the calculation:
Calculated density in g/cm3: 11.505
Space-group type: P2/m (10)
E_form (uncorrected) in meV/atom: -1210

Unit cell a=5.9725 b=3.4875 c=6.0468 alpha=90.00 beta=109.59 gamma=90.00
Last column: nearest neighbours and their distance in Å.
Positions (direct):
Ca: 0.0000 0.0000 0.0000  6 N 2.48-2.54
Pu: 0.0000 0.5000 0.5000  6 N 2.57-2.63
Pu: 0.5000 0.0000 0.5000  6 N 2.39-2.44
U: 0.5000 0.5000 0.0000  6 N 2.29-2.35
N: 0.2750 0.0000 0.7705  2 U 2.35, 3 Pu 2.44-2.57, 1 Ca 2.48
N: 0.2833 0.5000 0.2483  1 U 2.29, 2 Pu 2.39, 2 Ca 2.54
N: 0.7167 0.5000 0.7517  1 U 2.29, 2 Pu 2.39, 2 Ca 2.54
N: 0.7250 0.0000 0.2295  2 U 2.35, 3 Pu 2.44-2.57, 1 Ca 2.48


# 11
Cs2RbHgSb: relaxed, PBE.

Values from the calculation:
Calculated density in g/cm3: 3.702
Space-group type: P4/mmm (123)
Offset from the most stable computed form in meV per atom: 26
E_form (uncorrected) in meV/atom: -155

Unit cell a=7.2568 b=7.2568 c=5.7381 alpha=90.00 beta=90.00 gamma=90.00
Last column: nearest neighbours and their distance in Å.
Positions (direct):
Cs: 0.0000 0.5000 0.0000  2 Hg 3.63
Cs: 0.5000 0.0000 0.0000  2 Hg 3.63
Rb: 0.0000 0.0000 0.5000  8 Cs 4.63, 4 Sb 5.13
Hg: 0.5000 0.5000 0.0000  2 Sb 2.87
Sb: 0.5000 0.5000 0.5000  2 Hg 2.87


# 12
RbMnNi2: relaxed, PBE.

Values from the calculation:
Calculated density in g/cm3: 4.283
Space-group type: I4_1/amd (141)
Offset from the most stable computed form in meV per atom: 0
Calculated formation energy in meV per atom: 824

Unit cell a=9.0069 b=9.0069 c=9.0069 alpha=148.41 beta=148.41 gamma=45.28
Last column: nearest neighbours and their distance in Å.
Positions (direct):
Rb: 0.3750 0.6250 0.7500  8 Ni 3.44, 4 Mn 3.47
Rb: 0.6250 0.3750 0.2500  8 Ni 3.44, 4 Mn 3.47
Mn: 0.1250 0.8750 0.2500  4 Ni 2.41
Mn: 0.8750 0.1250 0.7500  4 Ni 2.41
Ni: 0.0000 0.0000 0.0000  2 Mn 2.41, 2 Ni 2.45
Ni: 0.0000 0.0000 0.5000  2 Mn 2.41, 2 Ni 2.45
Ni: 0.0000 0.5000 0.0000  2 Mn 2.41, 2 Ni 2.45
Ni: 0.5000 0.0000 0.5000  2 Mn 2.41, 2 Ni 2.45


# 13
SiB2Pb: relaxed, PBE.

Values from the calculation:
Calculated density in g/cm3: 7.097
Space-group type: Fm-3m (225)
Offset from the most stable computed form in meV per atom: 951
E_form (uncorrected) in meV/atom: 1676

Unit cell a=4.3970 b=4.3970 c=4.3970 alpha=60.00 beta=60.00 gamma=60.00
Last column: nearest neighbours and their distance in Å.
Positions (direct):
Si: 0.0000 0.0000 0.0000  8 B 2.69
B: 0.2500 0.2500 0.2500  4 Pb 2.69, 4 Si 2.69
B: 0.7500 0.7500 0.7500  4 Pb 2.69, 4 Si 2.69
Pb: 0.5000 0.5000 0.5000  8 B 2.69


# 14
SrScGa2Pd5: relaxed, PBE.

Values from the calculation:
Calculated density in g/cm3: 7.722
Space-group type: P4/mmm (123)
Calculated formation energy in meV per atom: -551

Unit cell a=4.7818 b=4.7818 c=7.5627 alpha=90.00 beta=90.00 gamma=90.00
Last column: nearest neighbours and their distance in Å.
Positions (direct):
Sr: 0.0000 0.0000 0.0000  12 Pd 3.21-3.38
Sc: 0.0000 0.0000 0.5000  8 Pd 2.90
Ga: 0.5000 0.5000 0.3341  5 Pd 2.42-2.53, 1 Ga 2.51
Ga: 0.5000 0.5000 0.6659  5 Pd 2.42-2.53, 1 Ga 2.51
Pd: 0.0000 0.5000 0.2823  2 Ga 2.42
Pd: 0.0000 0.5000 0.7177  2 Ga 2.42
Pd: 0.5000 0.0000 0.2823  2 Ga 2.42
Pd: 0.5000 0.0000 0.7177  2 Ga 2.42
Pd: 0.5000 0.5000 0.0000  2 Ga 2.53


# 15
BaSmZnPb: relaxed, PBE.

Values from the calculation:
Calculated density in g/cm3: 7.263
Space-group type: F-43m (216)
Calculated formation energy in meV per atom: -272

Unit cell a=5.6584 b=5.6584 c=5.6584 alpha=60.00 beta=60.00 gamma=60.00
Last column: nearest neighbours and their distance in Å.
Positions (direct):
Ba: 0.0000 0.0000 0.0000  4 Zn 3.47, 4 Pb 3.47
Sm: 0.5000 0.5000 0.5000  4 Zn 3.47, 4 Pb 3.47
Zn: 0.7500 0.7500 0.7500  4 Sm 3.47, 4 Ba 3.47
Pb: 0.2500 0.2500 0.2500  4 Ba 3.47, 4 Sm 3.47


# 16
Li5Pr4Pt6: relaxed, PBE.

Values from the calculation:
Calculated density in g/cm3: 9.228
Space-group type: Cmc2_1 (36)
Calculated formation energy in meV per atom: -729

Unit cell a=10.2943 b=10.2943 c=15.2380 alpha=90.00 beta=90.00 gamma=156.78
Last column: nearest neighbours and their distance in Å.
Positions (direct):
Li: 0.0659 0.9341 0.5000  3 Pt 2.47-2.71
Li: 0.1443 0.8557 0.8213  4 Pt 2.54-2.68
Li: 0.1613 0.8387 0.0866  4 Pt 2.55-2.79
Li: 0.1981 0.8019 0.4440  4 Pt 2.59-2.64, 1 Li 2.80
Li: 0.3459 0.6541 0.4559  4 Pt 2.52-2.74
Li: 0.6541 0.3459 0.9559  4 Pt 2.52-2.74
Li: 0.8019 0.1981 0.9440  4 Pt 2.59-2.64, 1 Li 2.80
Li: 0.8387 0.1613 0.5866  4 Pt 2.55-2.79
Li: 0.8557 0.1443 0.3213  4 Pt 2.54-2.68
Li: 0.9341 0.0659 0.0000  3 Pt 2.47-2.71
Pr: 0.3145 0.6855 0.7674  6 Pt 2.90-3.03
Pr: 0.3348 0.6652 0.1338  6 Pt 2.92-3.09
Pr: 0.4703 0.5297 0.5990  6 Pt 3.03-3.08, 5 Li 3.21-3.37
Pr: 0.4937 0.5063 0.3387  7 Pt 2.96-3.28
Pr: 0.5063 0.4937 0.8387  7 Pt 2.96-3.28
Pr: 0.5297 0.4703 0.0990  6 Pt 3.03-3.08, 5 Li 3.21-3.37
Pr: 0.6652 0.3348 0.6338  6 Pt 2.92-3.09
Pr: 0.6855 0.3145 0.2674  6 Pt 2.90-3.03
Pt: 0.0587 0.9413 0.6871  2 Li 2.68-2.85, 1 Pt 2.86
Pt: 0.0650 0.9350 0.9612  5 Li 2.66-2.74
Pt: 0.0787 0.9213 0.2333  1 Li 2.79, 1 Pt 2.86, 4 Pr 3.03-3.08
Pt: 0.2652 0.7348 0.5886  4 Li 2.55-2.59
Pt: 0.2829 0.7171 0.3129  4 Li 2.52-2.63
Pt: 0.3829 0.6171 0.9435  4 Li 2.47-2.64
Pt: 0.6171 0.3829 0.4435  4 Li 2.47-2.64
Pt: 0.7171 0.2829 0.8129  4 Li 2.52-2.63
Pt: 0.7348 0.2652 0.0886  4 Li 2.55-2.59
Pt: 0.9213 0.0787 0.7333  1 Li 2.79, 1 Pt 2.86, 4 Pr 3.03-3.08
Pt: 0.9350 0.0650 0.4612  5 Li 2.66-2.74
Pt: 0.9413 0.0587 0.1871  2 Li 2.68-2.85, 1 Pt 2.86


# 17
Sr3LiAs2H: relaxed, PBE.

Values from the calculation:
Calculated density in g/cm3: 4.059
Space-group type: Pnma (62)
Total energy in eV for the cell shown: -106.56

Unit cell a=12.1133 b=4.4914 c=12.6529 alpha=90.00 beta=90.00 gamma=90.00
Last column: nearest neighbours and their distance in Å.
Positions (direct):
Sr: 0.0626 0.2500 0.1211  1 H 2.50
Sr: 0.1307 0.7500 0.5603  1 H 2.62
Sr: 0.2053 0.2500 0.7983  2 H 2.53
Sr: 0.2947 0.7500 0.2983  2 H 2.53
Sr: 0.3693 0.2500 0.0603  1 H 2.62
Sr: 0.4374 0.7500 0.6211  1 H 2.50
Sr: 0.5626 0.2500 0.3789  1 H 2.50
Sr: 0.6307 0.7500 0.9397  1 H 2.62
Sr: 0.7053 0.2500 0.7017  2 H 2.53
Sr: 0.7947 0.7500 0.2017  2 H 2.53
Sr: 0.8693 0.2500 0.4397  1 H 2.62
Sr: 0.9374 0.7500 0.8789  1 H 2.50
Li: 0.1353 0.2500 0.3571  1 H 2.08
Li: 0.3647 0.7500 0.8571  1 H 2.08
Li: 0.6353 0.2500 0.1429  1 H 2.08
Li: 0.8647 0.7500 0.6429  1 H 2.08
As: 0.0249 0.7500 0.3238  2 Li 2.65
As: 0.1876 0.7500 0.9856  1 Li 2.69
As: 0.3124 0.2500 0.4856  1 Li 2.69
As: 0.4751 0.2500 0.8238  2 Li 2.65
As: 0.5249 0.7500 0.1762  2 Li 2.65
As: 0.6876 0.7500 0.5144  1 Li 2.69
As: 0.8124 0.2500 0.0144  1 Li 2.69
As: 0.9751 0.2500 0.6762  2 Li 2.65
H: 0.2378 0.2500 0.2248  1 Li 2.08
H: 0.2622 0.7500 0.7248  1 Li 2.08
H: 0.7378 0.2500 0.2752  1 Li 2.08
H: 0.7622 0.7500 0.7752  1 Li 2.08


# 18
KMg2In: relaxed, PBE.

Values from the calculation:
Calculated density in g/cm3: 2.852
Space-group type: P4mm (99)
Calculated formation energy in meV per atom: 32

Unit cell a=3.4558 b=3.4558 c=9.8750 alpha=90.00 beta=90.00 gamma=90.00
Last column: nearest neighbours and their distance in Å.
Positions (direct):
K: 0.0000 0.0000 0.0000  4 K 3.46, 4 In 3.71
Mg: 0.0000 0.0000 0.5165  4 In 3.14, 8 Mg 3.19-3.46
Mg: 0.5000 0.5000 0.3084  8 Mg 3.19-3.46
In: 0.5000 0.5000 0.7169  4 Mg 3.14, 4 In 3.46


# 19
Pd2PtAu: relaxed, PBE.

Values from the calculation:
Calculated density in g/cm3: 15.603
Space-group type: R3m (160)
Offset from the most stable computed form in meV per atom: 33
Calculated formation energy in meV per atom: -8

Unit cell a=9.5160 b=9.5160 c=9.5160 alpha=17.02 beta=17.02 gamma=17.02
Last column: nearest neighbours and their distance in Å.
Positions (direct):
Pd: 0.0000 0.0000 0.0000  3 Pt 2.81, 6 Pd 2.82, 3 Au 2.88
Pd: 0.1639 0.1639 0.1639  6 Pd 2.82, 3 Pt 2.83, 3 Au 2.89
Pt: 0.4150 0.4150 0.4150  6 Pd 2.81-2.83, 6 Pt 2.82
Au: 0.5823 0.5823 0.5823  6 Au 2.82, 6 Pd 2.88-2.89


# 20
Sr2LiSm: relaxed, PBE.

Values from the calculation:
Calculated density in g/cm3: 3.437
Space-group type: P4/mmm (123)
Offset from the most stable computed form in meV per atom: 39
Calculated formation energy in meV per atom: 184

Unit cell a=6.1846 b=6.1846 c=4.2009 alpha=90.00 beta=90.00 gamma=90.00
Last column: nearest neighbours and their distance in Å.
Positions (direct):
Sr: 0.0000 0.5000 0.0000  4 Li 3.74, 4 Sm 3.74
Sr: 0.5000 0.0000 0.0000  4 Li 3.74, 4 Sm 3.74
Li: 0.0000 0.0000 0.5000  8 Sr 3.74
Sm: 0.5000 0.5000 0.5000  8 Sr 3.74